1.
Compound: TmLuAg
Source: Alexandria
Functional: PBE-GGA
Structure: relaxed

Calculated values
SG = I4mm, No. 107
formation enthalpy at 0 K = -0.18 eV per atom
energy above the most stable polymorph in this dataset = 0.0 kJ per mole of atoms
total magnetization = 0.888 Bohr magnetons per cell
final energy = -4.1306 eV/atom

Geometry as POSCAR:
```
TmLuAg
1.0
-3.4499 0.2731 0.6922
0.3896 -2.1340 2.7839
2.6340 5.8019 1.8417
Lu Tm Ag
1 1 1
Cartesian
0.0396 0.1749 0.1285
0.6998 3.0882 2.2694
-1.1657 0.6779 2.9199
```

***

2.
Compound: TmLuAg2
Source: Alexandria
Functional: PBE-GGA
Structure: relaxed

Calculated values
SG = Fm-3m, No. 225
formation enthalpy at 0 K = -0.34 eV per atom
energy above the most stable polymorph in this dataset = 0.3 kJ per mole of atoms
total magnetization = 0.000 Bohr magnetons per cell
final energy = -4.0103 eV/atom

Geometry as POSCAR:
```
TmLuAg2
1.0
5.0581 0.0000 0.0000
2.5291 4.3805 0.0000
2.5291 1.4602 4.1299
Lu Tm Ag
1 1 2
Cartesian
5.0581 2.9203 2.0650
0.0000 0.0000 0.0000
7.5872 4.3805 3.0975
2.5291 1.4602 1.0325
```

***

3.
Compound: TmLuAg
Source: Alexandria
Functional: PBE-GGA
Structure: relaxed

Calculated values
SG = P3m1, No. 156
formation enthalpy at 0 K = -0.05 eV per atom
energy above the most stable polymorph in this dataset = 12.8 kJ per mole of atoms
total magnetization = 0.000 Bohr magnetons per cell
final energy = -3.9976 eV/atom

Geometry as POSCAR:
```
TmLuAg
1.0
3.5638 0.0000 0.0000
0.0000 4.9821 0.0000
0.0000 -2.4910 4.3146
Lu Tm Ag
1 1 1
Cartesian
0.2532 0.0000 0.0000
2.1561 2.4910 1.4382
1.1545 0.0000 2.8764
```

***

4.
Compound: TmLuAg4
Source: Alexandria
Functional: PBE-GGA
Structure: relaxed

Calculated values
SG = F-43m, No. 216
formation enthalpy at 0 K = -0.17 eV per atom
total magnetization = 0.000 Bohr magnetons per cell
final energy = -3.5709 eV/atom

Geometry as POSCAR:
```
TmLuAg4
1.0
5.6554 0.0000 0.0000
2.8277 4.8978 0.0000
2.8277 1.6326 4.6177
Lu Tm Ag
1 1 4
Cartesian
2.8277 1.6326 1.1544
0.0000 0.0000 0.0000
5.6554 3.2652 0.5780
5.6554 1.6333 2.8858
7.0687 4.0811 2.8858
4.2422 4.0811 2.8858
```

***

5.
Compound: TmLu2Ag
Source: Alexandria
Functional: PBE-GGA
Structure: relaxed

Calculated values
SG = Fm-3m, No. 225
formation enthalpy at 0 K = 0.06 eV per atom
energy above the most stable polymorph in this dataset = 18.7 kJ per mole of atoms
total magnetization = 0.002 Bohr magnetons per cell
final energy = -4.0321 eV/atom

Geometry as POSCAR:
```
TmLu2Ag
1.0
5.2718 0.0000 0.0000
2.6359 4.5655 0.0000
2.6359 1.5218 4.3044
Lu Tm Ag
2 1 1
Cartesian
2.6359 1.5218 1.0761
7.9077 4.5655 3.2283
5.2718 3.0437 2.1522
0.0000 0.0000 0.0000
```

***

6.
Compound: TmLu2Ag
Source: Alexandria
Functional: PBE-GGA
Structure: relaxed

Calculated values
SG = P4/mmm, No. 123
formation enthalpy at 0 K = -0.13 eV per atom
energy above the most stable polymorph in this dataset = 0.0 kJ per mole of atoms
total magnetization = 0.000 Bohr magnetons per cell
final energy = -4.2261 eV/atom

Geometry as POSCAR:
```
TmLu2Ag
1.0
-3.1289 0.0081 -1.5309
0.5112 -3.2778 -1.0622
-3.6030 -2.9433 7.3486
Lu Tm Ag
2 1 1
Cartesian
-2.8249 -2.3077 5.7616
-0.7781 -0.6356 1.5870
-3.1103 -3.1065 2.3778
-1.3088 -1.6348 -1.2965
```

***

7.
Compound: TmLuAg2
Source: Alexandria
Functional: PBE-GGA
Structure: relaxed

Calculated values
SG = P4/mmm, No. 123
formation enthalpy at 0 K = -0.34 eV per atom
energy above the most stable polymorph in this dataset = 0.0 kJ per mole of atoms
total magnetization = 0.000 Bohr magnetons per cell
final energy = -4.0137 eV/atom

Geometry as POSCAR:
```
TmLuAg2
1.0
-1.7047 -0.3264 -3.0726
0.5477 -5.0525 0.2328
-4.4207 -0.3644 2.4913
Lu Tm Ag
1 1 2
Cartesian
-0.8523 -0.1632 -1.5363
-2.7888 -2.8716 -0.1743
-2.2103 -0.1822 1.2456
0.2739 -2.5262 0.1164
```

***

8.
Compound: TmLu2Ag
Source: Alexandria
Functional: PBE-GGA
Structure: relaxed

Calculated values
SG = R-3m, No. 166
formation enthalpy at 0 K = 0.22 eV per atom
energy above the most stable polymorph in this dataset = 33.9 kJ per mole of atoms
total magnetization = 0.006 Bohr magnetons per cell
final energy = -3.8749 eV/atom

Geometry as POSCAR:
```
TmLu2Ag
1.0
3.3453 0.0000 0.0000
1.6726 2.8971 0.0000
1.6726 0.9657 11.4343
Lu Tm Ag
2 1 1
Cartesian
1.6726 0.9657 8.1055
5.0179 2.8971 3.3288
0.0000 0.0000 0.0000
3.3453 1.9314 5.7171
```

***

9.
Compound: TmLu2Ag
Source: Alexandria
Functional: PBE-GGA
Structure: relaxed

Calculated values
SG = P4/mmm, No. 123
formation enthalpy at 0 K = 0.01 eV per atom
energy above the most stable polymorph in this dataset = 14.3 kJ per mole of atoms
total magnetization = 0.001 Bohr magnetons per cell
final energy = -4.0781 eV/atom

Geometry as POSCAR:
```
TmLu2Ag
1.0
4.7155 0.0000 0.0000
0.0000 4.6831 0.0000
0.0000 0.0000 4.6831
Lu Tm Ag
2 1 1
Cartesian
0.0000 0.0000 2.3415
0.0000 2.3415 0.0000
2.3577 2.3415 2.3415
2.3577 0.0000 0.0000
```

***

10.
Compound: TmLuZnAg
Source: Alexandria
Functional: PBE-GGA
Structure: relaxed

Calculated values
SG = F-43m, No. 216
formation enthalpy at 0 K = -0.34 eV per atom
total magnetization = 0.000 Bohr magnetons per cell
final energy = -3.6175 eV/atom

Geometry as POSCAR:
```
TmLuZnAg
1.0
5.0129 0.0000 0.0000
2.5064 4.3413 0.0000
2.5064 1.4471 4.0930
Zn Lu Tm Ag
1 1 1 1
Cartesian
7.5193 4.3413 3.0697
5.0129 2.8942 2.0465
0.0000 0.0000 0.0000
2.5064 1.4471 1.0232
```

***

11.
Compound: Y2LuAg
Source: Alexandria
Functional: PBE-GGA
Structure: relaxed

Calculated values
SG = P4/mmm, No. 123
formation enthalpy at 0 K = -0.01 eV per atom
energy above the most stable polymorph in this dataset = 11.0 kJ per mole of atoms
total magnetization = 0.001 Bohr magnetons per cell
final energy = -5.0854 eV/atom

Geometry as POSCAR:
```
Y2LuAg
1.0
3.7952 0.0000 0.0000
0.0000 5.3582 0.0000
0.0000 0.0000 5.3582
Y Lu Ag
2 1 1
Cartesian
0.0000 0.0000 2.6791
0.0000 2.6791 0.0000
1.8976 2.6791 2.6791
1.8976 0.0000 0.0000
```

***

12.
Compound: YLuAg2
Source: Alexandria
Functional: PBE-GGA
Structure: relaxed

Calculated values
SG = Fm-3m, No. 225
formation enthalpy at 0 K = -0.33 eV per atom
energy above the most stable polymorph in this dataset = 0.6 kJ per mole of atoms
total magnetization = 0.000 Bohr magnetons per cell
final energy = -4.5012 eV/atom

Geometry as POSCAR:
```
YLuAg2
1.0
-1.7720 4.7333 -0.6826
-2.6606 1.1462 -4.1973
-5.0056 0.9207 0.3259
Y Lu Ag
1 1 2
Cartesian
-4.7191 3.4001 -2.2770
0.0000 0.0000 0.0000
-2.3595 1.7000 -1.1385
-7.0786 5.1001 -3.4155
```

***

13.
Compound: YLuAg2
Source: Alexandria
Functional: PBE-GGA
Structure: relaxed

Calculated values
SG = P4/mmm, No. 123
formation enthalpy at 0 K = -0.34 eV per atom
energy above the most stable polymorph in this dataset = 0.0 kJ per mole of atoms
total magnetization = 0.002 Bohr magnetons per cell
final energy = -4.5079 eV/atom

Geometry as POSCAR:
```
YLuAg2
1.0
-0.9995 2.9129 1.8166
-3.1652 -0.0494 -1.6623
-2.7184 -4.2395 5.3023
Y Lu Ag
1 1 2
Cartesian
-3.4415 -0.6880 2.7283
-2.0823 1.4317 0.0772
-2.0768 -3.2389 4.0508
-0.6416 -1.0007 1.2515
```

***

14.
Compound: Y2LuAg
Source: Alexandria
Functional: PBE-GGA
Structure: relaxed

Calculated values
SG = P4/mmm, No. 123
formation enthalpy at 0 K = -0.12 eV per atom
energy above the most stable polymorph in this dataset = 0.0 kJ per mole of atoms
total magnetization = 0.000 Bohr magnetons per cell
final energy = -5.1997 eV/atom

Geometry as POSCAR:
```
Y2LuAg
1.0
3.5518 0.0000 0.0000
0.0000 3.5518 0.0000
0.0000 0.0000 8.8125
Y Lu Ag
2 1 1
Cartesian
0.0000 0.0000 6.8836
0.0000 0.0000 1.9289
1.7759 1.7759 4.4062
1.7759 1.7759 0.0000
```

***

15.
Compound: YLuZnAg
Source: Alexandria
Functional: PBE-GGA
Structure: relaxed

Calculated values
SG = F-43m, No. 216
formation enthalpy at 0 K = -0.33 eV per atom
total magnetization = 0.000 Bohr magnetons per cell
final energy = -4.1120 eV/atom

Geometry as POSCAR:
```
YLuZnAg
1.0
-0.5840 -2.3253 4.4513
-3.3683 -3.7404 0.4755
1.5812 -4.7660 0.5891
Y Zn Lu Ag
1 1 1 1
Cartesian
-1.7783 -8.1238 4.1370
-1.1855 -5.4158 2.7580
-0.5928 -2.7079 1.3790
0.0000 0.0000 0.0000
```

***

16.
Compound: LuZnAg2
Source: Alexandria
Functional: PBE-GGA
Structure: relaxed

Calculated values
SG = P4/mmm, No. 123
formation enthalpy at 0 K = -0.17 eV per atom
total magnetization = 0.000 Bohr magnetons per cell
final energy = -3.0438 eV/atom

Geometry as POSCAR:
```
LuZnAg2
1.0
-2.0240 -0.1425 -2.7283
-2.7109 -0.3167 2.0276
-0.6700 6.6823 0.1481
Zn Lu Ag
1 1 2
Cartesian
-2.3675 -0.2296 -0.3503
-2.7025 3.1116 -0.2763
-0.5214 5.2008 0.1152
-0.1485 1.4815 0.0328
```

***

17.
Compound: LuZnAg2
Source: Alexandria
Functional: PBE-GGA
Structure: relaxed

Calculated values
SG = P4/mmm, No. 123
formation enthalpy at 0 K = -0.13 eV per atom
total magnetization = 0.000 Bohr magnetons per cell
final energy = -3.0092 eV/atom

Geometry as POSCAR:
```
LuZnAg2
1.0
4.2423 0.0000 0.0000
0.0000 4.3293 0.0000
0.0000 0.0000 4.3293
Zn Lu Ag
1 1 2
Cartesian
2.1211 0.0000 0.0000
2.1211 2.1647 2.1647
0.0000 0.0000 2.1647
0.0000 2.1647 0.0000
```

***

18.
Compound: LuZn2Ag
Source: Alexandria
Functional: PBE-GGA
Structure: relaxed

Calculated values
SG = P4/mmm, No. 123
formation enthalpy at 0 K = -0.17 eV per atom
total magnetization = 0.000 Bohr magnetons per cell
final energy = -2.6538 eV/atom

Geometry as POSCAR:
```
LuZn2Ag
1.0
-0.6920 -0.9298 4.1374
4.1257 -0.8188 0.5060
0.6789 4.0542 1.0246
Zn Lu Ag
2 1 1
Cartesian
0.3395 2.0271 0.5123
2.0628 -0.4094 0.2530
2.0563 1.1528 2.8340
-0.3460 -0.4649 2.0687
```

***

19.
Compound: LuZn2Ag
Source: Alexandria
Functional: PBE-GGA
Structure: relaxed

Calculated values
SG = P4/mmm, No. 123
formation enthalpy at 0 K = -0.18 eV per atom
total magnetization = 0.000 Bohr magnetons per cell
final energy = -2.6608 eV/atom

Geometry as POSCAR:
```
LuZn2Ag
1.0
3.3371 0.0000 0.0000
0.0000 3.3371 0.0000
0.0000 0.0000 6.7003
Zn Lu Ag
2 1 1
Cartesian
0.0000 0.0000 5.2221
0.0000 0.0000 1.4782
1.6686 1.6686 3.3501
1.6686 1.6686 0.0000
```

***

20.
Compound: LuZrZnAg
Source: Alexandria
Functional: PBE-GGA
Structure: relaxed

Calculated values
SG = F-43m, No. 216
formation enthalpy at 0 K = -0.17 eV per atom
total magnetization = 0.898 Bohr magnetons per cell
final energy = -4.4724 eV/atom

Geometry as POSCAR:
```
LuZrZnAg
1.0
4.9020 0.0000 0.0000
2.4510 4.2452 0.0000
2.4510 1.4151 4.0024
Zn Lu Zr Ag
1 1 1 1
Cartesian
7.3529 4.2452 3.0018
4.9020 2.8301 2.0012
0.0000 0.0000 0.0000
2.4510 1.4151 1.0006
```